The following is a DFT calculation (PBE-GGA) of a relaxed structure of Al2SbAu.

Cell: 4.448 4.448 8.116 Å, 90.00 90.00 90.00°
Sites, in units of the cell vectors:
Al 0.000 0.000 0.000
Al 0.000 0.500 0.250
Al 0.500 0.000 0.750
Al 0.500 0.500 0.500
Sb 0.000 0.000 0.500
Sb 0.500 0.500 0.000
Au 0.000 0.500 0.750
Au 0.500 0.000 0.250

=====

The following is a DFT calculation (PBE-GGA) of a relaxed structure of AlSbAu2.

Summary:
Its relative energy among the computed polymorphs is 0.0646 eV/atom.

Cell: 4.174 3.665 5.596 Å, 90.00 104.01 90.00°
Sites, in units of the cell vectors:
Al 0.000 0.000 0.000
Sb 0.603 0.500 0.418
Au 0.127 0.000 0.515
Au 0.493 0.500 0.914

=====

The following is a DFT calculation (PBE-GGA) of a relaxed structure of Al2SbAu.

Cell: 3.056 3.056 8.590 Å, 90.00 90.00 90.00°
Sites, in units of the cell vectors:
Al 0.000 0.000 0.000
Al 0.500 0.500 0.226
Sb 0.500 0.500 0.724
Au 0.000 0.000 0.413

=====

no.,uncorrected formation energy (eV per atom),VASP energy (eV per atom)
1,0.11,-3.613
2,-0.10,-3.707
3,0.01,-3.708